1.
{"formula": "BaIn2ReO", "functional": "meta-GGA SCAN", "state": "PBEsol geometry", "crystal_system": "tetragonal", "dos_ef_per_ev_atom": 0.5891, "lattice": [[-1.778, 1.135, 4.129], [-4.261, -0.023, -1.828], [-0.461, -4.853, 1.136]], "species": ["Re", "Ba", "O", "In", "In"], "fractional_positions": [[0.500, 0.500, 0.500], [0.000, 0.000, 0.500], [0.000, 0.000, 0.000], [0.000, 0.500, 0.000], [0.500, 0.000, 0.000]]}

2.
{"formula": "SmY15O24", "functional": "meta-GGA SCAN", "state": "PBEsol geometry", "crystal_system": "monoclinic", "dos_ef_per_ev_atom": 0.0000, "lattice": [[-4.039, -4.419, 6.904], [3.130, -6.073, -6.068], [6.976, 4.971, 3.225]], "species": ["Sm", "Y", "Y", "Y", "Y", "Y", "Y", "Y", "Y", "Y", "Y", "Y", "Y", "Y", "Y", "Y", "O", "O", "O", "O", "O", "O", "O", "O", "O", "O", "O", "O", "O", "O", "O", "O", "O", "O", "O", "O", "O", "O", "O", "O"], "fractional_positions": [[0.032, 0.532, 0.500], [0.967, 0.967, 0.000], [0.000, 0.751, 0.249], [0.716, 0.998, 0.217], [0.782, 0.500, 0.783], [0.250, 0.717, 0.969], [0.251, 0.217, 0.467], [0.502, 0.751, 0.751], [0.000, 0.250, 0.752], [0.498, 0.248, 0.248], [0.533, 0.033, 0.500], [0.467, 0.467, 0.000], [0.750, 0.783, 0.533], [0.748, 0.281, 0.031], [0.217, 0.001, 0.717], [0.284, 0.500, 0.283], [0.457, 0.978, 0.219], [0.042, 0.761, 0.022], [0.030, 0.509, 0.234], [0.729, 0.708, 0.739], [0.532, 0.292, 0.520], [0.230, 0.489, 0.021], [0.759, 0.238, 0.781], [0.740, 0.020, 0.978], [0.229, 0.219, 0.207], [0.989, 0.478, 0.713], [0.511, 0.718, 0.989], [0.271, 0.978, 0.489], [0.011, 0.022, 0.793], [0.489, 0.782, 0.511], [0.765, 0.276, 0.287], [0.729, 0.522, 0.011], [0.238, 0.261, 0.718], [0.266, 0.481, 0.523], [0.772, 0.012, 0.480], [0.468, 0.209, 0.979], [0.275, 0.796, 0.766], [0.969, 0.990, 0.261], [0.543, 0.520, 0.282], [0.958, 0.744, 0.477]]}

Energy relative to the elements, uncorrected for the records above, in order: 254.8 -3928.0 meV per atom